Record 1
The following is a DFT calculation (PBE-GGA) of an optimized crystal structure of SiNiCl2.

a b c (Å): 15.048 3.475 3.311
angles (deg): 90.00 102.44 90.00
Element x y z (fractional)
1 Si 0.000 0.000 0.000
2 Si 0.500 0.500 0.000
3 Ni 0.000 0.500 0.500
4 Ni 0.500 0.000 0.500
5 Cl 0.135 0.000 0.631
6 Cl 0.365 0.500 0.369
7 Cl 0.635 0.500 0.631
8 Cl 0.865 0.000 0.369

* SG: C2/m, No. 12
* formation energy without anion corrections: -0.124 eV per atom
* ρ: 3.10 g/cm³
* total DFT energy (no corrections): -3.8486 eV per atom
* relative energy among the computed polymorphs: 330 meV per atom

=====

Record 2
The following is a DFT calculation (PBE-GGA) of an optimized crystal structure of K3LaF.

a b c (Å): 7.538 7.538 7.538
angles (deg): 90.00 90.00 90.00
Element x y z (fractional)
1 K 0.000 0.000 0.500
2 K 0.000 0.500 0.000
3 K 0.500 0.000 0.000
4 La 0.000 0.000 0.000
5 F 0.500 0.500 0.500

* SG: Pm-3m, No. 221
* formation energy without anion corrections: 0.364 eV per atom
* ρ: 1.07 g/cm³
* total DFT energy (no corrections): -1.6541 eV per atom

=====

Record 3
The following is a DFT calculation (PBE-GGA) of an optimized crystal structure of Np2NiSeS4.

a b c (Å): 9.984 3.737 9.441
angles (deg): 90.00 112.97 90.00
Element x y z (fractional)
1 Np 0.138 0.000 0.247
2 Np 0.362 0.500 0.753
3 Np 0.638 0.500 0.247
4 Np 0.862 0.000 0.753
5 Ni 0.000 0.000 0.500
6 Ni 0.500 0.500 0.500
7 Se 0.000 0.500 0.000
8 Se 0.500 0.000 0.000
9 S 0.129 0.500 0.461
10 S 0.155 0.000 0.756
11 S 0.345 0.500 0.244
12 S 0.371 0.000 0.539
13 S 0.629 0.000 0.461
14 S 0.655 0.500 0.756
15 S 0.845 0.000 0.244
16 S 0.871 0.500 0.539

* SG: C2/m, No. 12
* formation energy without anion corrections: -0.932 eV per atom
* ρ: 7.58 g/cm³
* total DFT energy (no corrections): -7.3896 eV per atom

=====

Record 4
The following is a DFT calculation (PBE-GGA) of an optimized crystal structure of PmLu2Tl.

a b c (Å): 3.611 3.611 8.955
angles (deg): 90.00 90.00 90.00
Element x y z (fractional)
1 Pm 0.000 0.000 0.000
2 Lu 0.500 0.500 0.275
3 Lu 0.500 0.500 0.725
4 Tl 0.000 0.000 0.500

* energy relative to the elements: -0.7 eV per formula unit
* SG: P4/mmm, No. 123
* ρ: 9.95 g/cm³
* total DFT energy (no corrections): -4.2051 eV per atom
* relative energy among the computed polymorphs: 0 meV per atom

=====

Record 5
The following is a DFT calculation (PBE-GGA) of an optimized crystal structure of Nd2MnCu2Ni5.

a b c (Å): 9.131 9.131 3.695
angles (deg): 90.00 90.00 90.00
Element x y z (fractional)
1 Nd 0.183 0.317 0.000
2 Nd 0.317 0.817 0.000
3 Nd 0.683 0.183 0.000
4 Nd 0.817 0.683 0.000
5 Mn 0.000 0.000 0.000
6 Mn 0.500 0.500 0.000
7 Cu 0.115 0.615 0.000
8 Cu 0.385 0.115 0.000
9 Cu 0.615 0.885 0.000
10 Cu 0.885 0.385 0.000
11 Ni 0.000 0.500 0.500
12 Ni 0.055 0.797 0.500
13 Ni 0.203 0.055 0.500
14 Ni 0.297 0.555 0.500
15 Ni 0.445 0.297 0.500
16 Ni 0.500 0.000 0.500
17 Ni 0.555 0.703 0.500
18 Ni 0.703 0.445 0.500
19 Ni 0.797 0.945 0.500
20 Ni 0.945 0.203 0.500

* energy relative to the elements: -1.0 eV per formula unit
* SG: P4/mbm, No. 127
* ρ: 8.24 g/cm³
* total DFT energy (no corrections): -5.6758 eV per atom

=====

Record 6
The following is a DFT calculation (PBE-GGA) of an optimized crystal structure of Na4Cd4In.

a b c (Å): 8.451 8.451 8.451
angles (deg): 140.07 140.07 57.74
Element x y z (fractional)
1 Na 0.088 0.716 0.000
2 Na 0.284 0.284 0.372
3 Na 0.716 0.088 0.000
4 Na 0.912 0.912 0.628
5 Cd 0.114 0.114 0.617
6 Cd 0.496 0.496 0.383
7 Cd 0.504 0.886 0.000
8 Cd 0.886 0.504 0.000
9 In 0.500 0.500 0.000

* energy relative to the elements: 0.3 eV per formula unit
* SG: I-42m, No. 121
* ρ: 4.42 g/cm³
* total DFT energy (no corrections): -1.2672 eV per atom

=====

Record 7
The following is a DFT calculation (PBE-GGA) of an optimized crystal structure of LuThCo.

a b c (Å): 3.394 3.394 12.209
angles (deg): 90.00 90.00 90.00
Element x y z (fractional)
1 Lu 0.000 0.000 0.000
2 Lu 0.500 0.500 0.500
3 Th 0.000 0.000 0.734
4 Th 0.500 0.500 0.234
5 Co 0.000 0.000 0.364
6 Co 0.500 0.500 0.864

* energy relative to the elements: -0.3 eV per formula unit
* SG: I4mm, No. 107
* ρ: 11.00 g/cm³
* total DFT energy (no corrections): -6.4388 eV per atom
* relative energy among the computed polymorphs: 39 meV per atom

=====

Record 8
The following is a DFT calculation (PBE-GGA) of an optimized crystal structure of AcLa2Pm4Ho.

a b c (Å): 9.769 9.769 7.036
angles (deg): 110.90 110.90 88.79
Element x y z (fractional)
1 Ac 0.000 0.500 0.000
2 Ac 0.500 0.000 0.500
3 La 0.000 0.000 0.000
4 La 0.000 0.000 0.500
5 La 0.000 0.500 0.500
6 La 0.500 0.000 0.000
7 Pm 0.247 0.265 0.524
8 Pm 0.256 0.742 0.514
9 Pm 0.258 0.744 0.986
10 Pm 0.265 0.247 0.024
11 Pm 0.735 0.753 0.976
12 Pm 0.742 0.256 0.014
13 Pm 0.744 0.258 0.486
14 Pm 0.753 0.735 0.476
15 Ho 0.500 0.500 0.000
16 Ho 0.500 0.500 0.500

* energy relative to the elements: 2.9 eV per formula unit
* SG: C2/c, No. 15
* ρ: 7.14 g/cm³
* total DFT energy (no corrections): -4.3246 eV per atom

=====

Q: ρ of number 4 (PmLu2Tl)?
A: 9.95 g/cm³

=====

Q: Look up the total DFT energy (no corrections) of the third one.
A: -7.3896 eV per atom

=====

Q: Look up the total DFT energy (no corrections) of the third one.
A: -7.3896 eV per atom